Below is KSr2Au after structural relaxation, with properties calculated at the PBE level.

Structure (POSCAR):
```
KSr2Au
1.0
0.0000 4.2908 4.2908
4.2908 0.0000 4.2908
4.2908 4.2908 0.0000
K Sr Au
1 2 1
Direct
0.0000 0.0000 0.0000 K
0.2500 0.2500 0.2500 Sr
0.5000 0.5000 0.5000 Sr
0.7500 0.7500 0.7500 Au
```

Computed properties:
Magnetic moment: 0.000 μB per formula unit
Raw total energy: -0.137 Ry per atom
Energy of formation from the pure elements: 0.07 eV/atom
Polymorph energy (0 for the lowest one): 10.58 kcal/mol of atoms
SG: F-43m, No. 216
Crystal system: cubic

---

Below is PrDyAs2 after structural relaxation, with properties calculated at the PBE level.

Structure (POSCAR):
```
PrDyAs2
1.0
2.1091 1.2177 6.8723
-2.1091 1.2177 6.8723
0.0000 -2.4354 6.8723
Pr Dy As
1 1 2
Direct
0.0000 0.0000 0.0000 Pr
0.5000 0.5000 0.5000 Dy
0.2462 0.2462 0.2462 As
0.7538 0.7538 0.7538 As
```

Computed properties:
Magnetic moment: 0.000 μB per formula unit
Raw total energy: -0.454 Ry per atom
Energy of formation from the pure elements: -1.51 eV/atom
Polymorph energy (0 for the lowest one): 0.00 kcal/mol of atoms
SG: R-3m, No. 166
Crystal system: trigonal

---

Below is TbPrDy4S8 after structural relaxation, with properties calculated at the PBE level.

Structure (POSCAR):
```
TbPrDy4S8
1.0
4.0543 2.3407 6.6320
-4.0543 2.3407 6.6320
0.0000 -4.6815 6.6320
Tb Pr Dy S
1 1 4 8
Direct
0.0000 0.0000 0.0000 Tb
0.6246 0.6246 0.6246 Pr
0.0001 0.0001 0.4967 Dy
0.0001 0.4967 0.0001 Dy
0.3741 0.3741 0.3741 Dy
0.4967 0.0001 0.0001 Dy
0.2146 0.7600 0.7600 S
0.2422 0.2422 0.2422 S
0.2431 0.2431 0.7696 S
0.2431 0.7696 0.2431 S
0.7600 0.2146 0.7600 S
0.7600 0.7600 0.2146 S
0.7613 0.7613 0.7613 S
0.7696 0.2431 0.2431 S
```

Computed properties:
Magnetic moment: 0.000 μB per formula unit
Raw total energy: -0.461 Ry per atom
SG: R3m, No. 160
ΔE_f (raw): -1.927 eV/atom
Crystal system: trigonal

---

Below is LaSmBeN2 after structural relaxation, with properties calculated at the PBE level.

Structure (POSCAR):
```
LaSmBeN2
1.0
5.0790 0.0000 0.0000
0.0000 5.3256 0.0000
0.0000 0.0000 6.7982
La Sm Be N
2 2 2 4
Direct
0.0000 0.0000 0.2500 La
0.0000 0.0000 0.7500 La
0.5000 0.5000 0.2500 Sm
0.5000 0.5000 0.7500 Sm
0.0000 0.5000 0.0000 Be
0.0000 0.5000 0.5000 Be
0.2190 0.2944 0.0000 N
0.2190 0.7056 0.5000 N
0.7810 0.2944 0.5000 N
0.7810 0.7056 0.0000 N
```

Computed properties:
Magnetic moment: 0.001 μB per formula unit
Raw total energy: -0.504 Ry per atom
SG: Pccm, No. 49
ΔE_f (raw): -0.857 eV/atom
Crystal system: orthorhombic

---

Below is Na3Ce2YS6 after structural relaxation, with properties calculated at the PBE level.

Structure (POSCAR):
```
Na3Ce2YS6
1.0
3.5431 -6.1375 0.0000
3.5431 6.1375 0.0000
-2.3639 0.0000 6.6670
Na Ce Y S
3 2 1 6
Direct
0.0000 0.0000 0.0000 Na
0.3340 0.6660 0.0000 Na
0.6660 0.3340 0.0000 Na
0.1667 0.8333 0.5000 Ce
0.8333 0.1667 0.5000 Ce
0.5000 0.5000 0.5000 Y
0.0968 0.4229 0.2689 S
0.2506 0.2506 0.7299 S
0.4229 0.0968 0.2689 S
0.5771 0.9032 0.7311 S
0.7494 0.7494 0.2701 S
0.9032 0.5771 0.7311 S
```

Computed properties:
Magnetic moment: 2.015 μB per formula unit
Raw total energy: -0.418 Ry per atom
SG: C2/m, No. 12
ΔE_f (raw): -1.769 eV/atom
Crystal system: monoclinic

---

Below is CoGe2P after structural relaxation, with properties calculated at the PBE level.

Structure (POSCAR):
```
CoGe2P
1.0
-2.7755 2.7755 5.1236
2.7755 -2.7755 5.1236
2.7755 2.7755 -5.1236
Co Ge P
2 4 2
Direct
0.0000 0.0000 0.0000 Co
0.7500 0.2500 0.5000 Co
0.1069 0.6250 0.9819 Ge
0.3750 0.3569 0.4819 Ge
0.6431 0.1250 0.0181 Ge
0.8750 0.8931 0.5181 Ge
0.2500 0.7500 0.5000 P
0.5000 0.5000 0.0000 P
```

Computed properties:
Magnetic moment: 0.000 μB per formula unit
Raw total energy: -0.383 Ry per atom
Energy of formation from the pure elements: 0.22 eV/atom
SG: I-42d, No. 122
Crystal system: tetragonal

---

Look up the magnetic moment of the fifth one.
2.015 μB per formula unit